# 1
# Sm2TcC3

Crystalline Sm2TcC3 at its relaxed geometry (PBE-GGA, the Alexandria database).

Computed properties:
size of the total moment = 0.000 Bohr magnetons per cell
calculated density = 7.760 g/cm3
Fermi-level density of states = 3.232 states/eV/cell
final energy = -7.801 eV per atom

Lattice parameters (Å, degrees): 3.6258 3.9596 7.0139 106.40 104.98 90.00
Last column: nearest neighbours and their distance in Å.
Sites, in units of the cell vectors:
Tc 0.0000 0.0000 0.0000  4 C 1.98-2.04
Sm 0.3526 0.3526 0.7053  7 C 2.53-2.69
Sm 0.6474 0.6474 0.2947  7 C 2.53-2.69
C 0.8428 0.8428 0.6855  1 Tc 2.04
C 0.0000 0.5000 0.0000  2 Tc 1.98
C 0.1572 0.1572 0.3145  1 Tc 2.04

# 2
# SmTcC

Crystalline SmTcC at its relaxed geometry (PBE-GGA, the Alexandria database).

Computed properties:
ΔE to the lowest computed polymorph = 0.062 eV/atom
size of the total moment = 0.000 Bohr magnetons per cell
calculated density = 7.321 g/cm3
Fermi-level density of states = 6.470 states/eV/cell
final energy = -8.129 eV per atom

Lattice parameters (Å, degrees): 3.8858 7.0062 8.8962 91.74 102.61 90.00
Last column: nearest neighbours and their distance in Å.
Sites, in units of the cell vectors:
C 0.6814 0.5613 0.3628  1 Tc 2.01
C 0.6906 0.1125 0.3812  4 Tc 1.99-2.21
C 0.3186 0.4387 0.6372  1 Tc 2.01
C 0.3094 0.8875 0.6188  4 Tc 1.99-2.21
Tc 0.2100 0.0765 0.4200  3 C 1.99-2.21
Tc 0.2418 0.6466 0.4836  2 C 2.01-2.03
Tc 0.7900 0.9235 0.5800  3 C 1.99-2.21
Tc 0.7582 0.3534 0.5164  2 C 2.01-2.03
Sm 0.6008 0.8371 0.2016  2 C 2.42-2.44
Sm 0.8968 0.6081 0.7935  2 C 2.63, 1 Tc 2.93
Sm 0.3992 0.1629 0.7984  2 C 2.42-2.44
Sm 0.1032 0.3919 0.2065  2 C 2.63, 1 Tc 2.93

# 3
# Sm3TcC3

Crystalline Sm3TcC3 at its relaxed geometry (PBE-GGA, the Alexandria database).

Computed properties:
ΔE to the lowest computed polymorph = 0.000 eV/atom
size of the total moment = 0.000 Bohr magnetons per cell
calculated density = 7.758 g/cm3
Fermi-level density of states = 5.849 states/eV/cell
final energy = -7.703 eV per atom

Lattice parameters (Å, degrees): 5.3039 6.9329 6.9354 100.83 90.00 90.00
Last column: nearest neighbours and their distance in Å.
Sites, in units of the cell vectors:
Sm 0.2500 0.8919 0.1082  5 C 2.48-2.66
Sm 0.7500 0.1081 0.8918  5 C 2.48-2.66
Sm 0.7500 0.5909 0.8301  5 C 2.56-2.85
Sm 0.2500 0.4091 0.1699  5 C 2.56-2.85
Sm 0.2500 0.8300 0.5909  5 C 2.56-2.85
Sm 0.7500 0.1700 0.4091  5 C 2.56-2.85
C 0.7500 0.8757 0.1243  1 Tc 1.95
C 0.7500 0.4225 0.1740  1 Tc 1.93
C 0.2500 0.5775 0.8260  1 Tc 1.93
C 0.7500 0.8258 0.5772  1 Tc 1.93
C 0.2500 0.1742 0.4228  1 Tc 1.93
C 0.2500 0.1243 0.8757  1 Tc 1.95
Tc 0.2500 0.3064 0.6937  3 C 1.93-1.95
Tc 0.7500 0.6936 0.3063  3 C 1.93-1.95